# 1
A PBEsol-optimized structure of Na9Li7V16O48. Source: the Alexandria database, functional meta-GGA SCAN. Values from VASP.

Properties
space-group type = C2, No. 5
DOS at the Fermi energy = 0.000 states/eV/atom
total magnetic moment = 0.00 μB per formula unit
calculated total energy = -835.5 eV per cell
E_form (uncorrected) = -2.5245 eV per atom

Quantum ESPRESSO input file:
```
&SYSTEM
  ibrav = 0, nat = 80, ntyp = 4
/
ATOMIC_SPECIES
Na 22.99 Na.upf
Li 6.94 Li.upf
V 50.94 V.upf
O 16.00 O.upf
ATOMIC_POSITIONS crystal
Na 0.000 0.000 0.000
Na 0.122 0.380 0.748
Na 0.177 0.570 0.376
Na 0.375 0.625 0.000
Na 0.430 0.823 0.624
Na 0.620 0.878 0.252
Na 0.662 0.066 0.872
Na 0.872 0.128 0.500
Na 0.934 0.338 0.128
Li 0.049 0.697 0.871
Li 0.251 0.250 0.251
Li 0.303 0.951 0.129
Li 0.499 0.501 0.500
Li 0.550 0.200 0.376
Li 0.750 0.749 0.749
Li 0.800 0.450 0.624
V 0.080 0.088 0.374
V 0.139 0.776 0.250
V 0.156 0.173 0.872
V 0.224 0.861 0.750
V 0.331 0.341 0.623
V 0.389 0.031 0.498
V 0.415 0.418 0.127
V 0.462 0.112 0.001
V 0.582 0.585 0.873
V 0.638 0.281 0.748
V 0.659 0.669 0.377
V 0.719 0.362 0.252
V 0.827 0.844 0.128
V 0.888 0.538 0.999
V 0.912 0.920 0.626
V 0.969 0.611 0.502
O 0.000 0.028 0.893
O 0.011 0.327 0.017
O 0.040 0.669 0.969
O 0.041 0.391 0.858
O 0.054 0.874 0.323
O 0.076 0.715 0.775
O 0.111 0.459 0.635
O 0.126 0.946 0.677
O 0.174 0.006 0.447
O 0.189 0.492 0.489
O 0.227 0.236 0.349
O 0.256 0.073 0.802
O 0.261 0.559 0.263
O 0.267 0.274 0.153
O 0.285 0.924 0.225
O 0.295 0.637 0.114
O 0.307 0.125 0.572
O 0.331 0.960 0.031
O 0.354 0.198 0.930
O 0.363 0.705 0.886
O 0.424 0.259 0.696
O 0.441 0.739 0.737
O 0.477 0.489 0.597
O 0.500 0.321 0.054
O 0.508 0.811 0.511
O 0.511 0.523 0.403
O 0.537 0.177 0.473
O 0.541 0.889 0.365
O 0.556 0.372 0.821
O 0.574 0.212 0.278
O 0.609 0.959 0.142
O 0.628 0.444 0.179
O 0.673 0.989 0.983
O 0.679 0.500 0.946
O 0.726 0.733 0.847
O 0.741 0.576 0.304
O 0.754 0.060 0.759
O 0.764 0.773 0.651
O 0.788 0.426 0.722
O 0.793 0.139 0.614
O 0.802 0.646 0.070
O 0.823 0.463 0.527
O 0.861 0.207 0.386
O 0.875 0.693 0.428
O 0.927 0.744 0.198
O 0.940 0.246 0.241
O 0.972 0.000 0.107
O 0.994 0.826 0.553
CELL_PARAMETERS angstrom
5.113 -4.538 0.000
5.113 4.538 0.000
-2.221 0.000 21.820
```

=====

# 2
A PBEsol-optimized structure of Ta2RuAu. Source: the Alexandria database, functional meta-GGA SCAN. Values from VASP.

Properties
space-group type = Pmmm, No. 47
DOS at the Fermi energy = 0.675 states/eV/atom
relative energy among the computed polymorphs = 36 meV/atom
total magnetic moment = 0.00 μB per formula unit
calculated total energy = -238.2 eV per cell
energy of formation = -0.266 eV/atom

Quantum ESPRESSO input file:
```
&SYSTEM
  ibrav = 0, nat = 4, ntyp = 3
/
ATOMIC_SPECIES
Ta 180.95 Ta.upf
Ru 101.07 Ru.upf
Au 196.97 Au.upf
ATOMIC_POSITIONS crystal
Ta 0.000 0.000 0.238
Ta 0.000 0.000 0.762
Ru 0.500 0.500 0.000
Au 0.500 0.500 0.500
CELL_PARAMETERS angstrom
2.958 0.000 0.000
0.000 3.860 0.000
0.000 0.000 5.651
```

=====

# 3
A PBEsol-optimized structure of KRbOF2. Source: the Alexandria database, functional meta-GGA SCAN. Values from VASP.

Properties
space-group type = P4/mmm, No. 123
DOS at the Fermi energy = 1.507 states/eV/atom
total magnetic moment = 2.00 μB per formula unit
calculated total energy = -49.8 eV per cell
E_form (uncorrected) = -1.4834 eV per atom

Quantum ESPRESSO input file:
```
&SYSTEM
  ibrav = 0, nat = 5, ntyp = 4
/
ATOMIC_SPECIES
K 39.10 K.upf
Rb 85.47 Rb.upf
O 16.00 O.upf
F 19.00 F.upf
ATOMIC_POSITIONS crystal
K 0.000 0.000 0.000
Rb 0.500 0.500 0.500
O 0.000 0.000 0.500
F 0.000 0.500 0.000
F 0.500 0.000 0.000
CELL_PARAMETERS angstrom
4.885 0.000 0.000
0.000 4.885 0.000
0.000 0.000 4.800
```

=====

# 4
A PBEsol-optimized structure of ErB2Os. Source: the Alexandria database, functional meta-GGA SCAN. Values from VASP.

Properties
space-group type = Pnma, No. 62
DOS at the Fermi energy = 0.410 states/eV/atom
total magnetic moment = 0.00 μB per formula unit
calculated total energy = -559.4 eV per cell
energy of formation = -0.690 eV/atom

Quantum ESPRESSO input file:
```
&SYSTEM
  ibrav = 0, nat = 16, ntyp = 3
/
ATOMIC_SPECIES
Er 167.26 Er.upf
B 10.81 B.upf
Os 190.23 Os.upf
ATOMIC_POSITIONS crystal
Er 0.009 0.250 0.165
Er 0.491 0.750 0.665
Er 0.509 0.250 0.335
Er 0.991 0.750 0.835
B 0.139 0.581 0.461
B 0.139 0.919 0.461
B 0.361 0.081 0.961
B 0.361 0.419 0.961
B 0.639 0.581 0.039
B 0.639 0.919 0.039
B 0.861 0.081 0.539
B 0.861 0.419 0.539
Os 0.177 0.250 0.681
Os 0.323 0.750 0.181
Os 0.677 0.250 0.819
Os 0.823 0.750 0.319
CELL_PARAMETERS angstrom
5.805 0.000 0.000
0.000 5.253 0.000
0.000 0.000 6.292
```

=====

# 5
A PBEsol-optimized structure of ZrPt2Rh. Source: the Alexandria database, functional meta-GGA SCAN. Values from VASP.

Properties
space-group type = I-4m2, No. 119
DOS at the Fermi energy = 1.129 states/eV/atom
total magnetic moment = 0.00 μB per formula unit
calculated total energy = -208.7 eV per cell
energy of formation = -0.952 eV/atom

Quantum ESPRESSO input file:
```
&SYSTEM
  ibrav = 0, nat = 4, ntyp = 3
/
ATOMIC_SPECIES
Zr 91.22 Zr.upf
Pt 195.08 Pt.upf
Rh 102.91 Rh.upf
ATOMIC_POSITIONS crystal
Zr 0.000 0.000 0.000
Pt 0.500 0.500 0.000
Pt 0.750 0.250 0.500
Rh 0.250 0.750 0.500
CELL_PARAMETERS angstrom
-1.986 1.986 3.974
1.986 -1.986 3.974
1.986 1.986 -3.974
```

=====

# 6
A PBEsol-optimized structure of Tb10Mn13C18. Source: the Alexandria database, functional meta-GGA SCAN. Values from VASP.

Properties
space-group type = I-43m, No. 217
DOS at the Fermi energy = 0.298 states/eV/atom
total magnetic moment = 4.91 μB per formula unit
calculated total energy = -902.2 eV per cell
energy of formation = -0.377 eV/atom

Quantum ESPRESSO input file:
```
&SYSTEM
  ibrav = 0, nat = 41, ntyp = 3
/
ATOMIC_SPECIES
Tb 158.93 Tb.upf
Mn 54.94 Mn.upf
C 12.01 C.upf
ATOMIC_POSITIONS crystal
Tb 0.000 0.000 0.590
Tb 0.000 0.590 0.000
Tb 0.250 0.500 0.750
Tb 0.250 0.750 0.500
Tb 0.410 0.410 0.410
Tb 0.500 0.250 0.750
Tb 0.500 0.750 0.250
Tb 0.590 0.000 0.000
Tb 0.750 0.250 0.500
Tb 0.750 0.500 0.250
Mn 0.000 0.000 0.000
Mn 0.000 0.180 0.332
Mn 0.000 0.332 0.180
Mn 0.152 0.820 0.820
Mn 0.180 0.000 0.332
Mn 0.180 0.332 0.000
Mn 0.332 0.000 0.180
Mn 0.332 0.180 0.000
Mn 0.668 0.668 0.848
Mn 0.668 0.848 0.668
Mn 0.820 0.152 0.820
Mn 0.820 0.820 0.152
Mn 0.848 0.668 0.668
C 0.000 0.294 0.781
C 0.000 0.430 0.430
C 0.000 0.570 0.570
C 0.000 0.781 0.294
C 0.219 0.219 0.513
C 0.219 0.513 0.219
C 0.294 0.000 0.781
C 0.294 0.781 0.000
C 0.430 0.000 0.430
C 0.430 0.430 0.000
C 0.487 0.706 0.706
C 0.513 0.219 0.219
C 0.570 0.000 0.570
C 0.570 0.570 0.000
C 0.706 0.487 0.706
C 0.706 0.706 0.487
C 0.781 0.000 0.294
C 0.781 0.294 0.000
CELL_PARAMETERS angstrom
-4.994 4.994 4.994
4.994 -4.994 4.994
4.994 4.994 -4.994
```